# CoH2Ru (PBE, optimized geometry)
# Total moment, μB per atom: 0.600
# Crystal system: trigonal
# Mass density, kg/m³: 8060
# Total DFT energy (no corrections), eV per atom: -5.50
data_CoH2Ru
_symmetry_space_group_name_H-M 'R -3 m'
_symmetry_Int_Tables_number 166
_symmetry_space_group_name_Hall '-R 3 2"'
_cell_length_a 2.8667
_cell_length_b 2.8667
_cell_length_c 14.0708
_cell_angle_alpha 90.00
_cell_angle_beta 90.00
_cell_angle_gamma 120.00
loop_
_atom_site_label
_atom_site_type_symbol
_atom_site_fract_x
_atom_site_fract_y
_atom_site_fract_z
_atom_site_occupancy
Co1 Co 0.0000 0.0000 0.0000 1
H1 H 0.0000 0.0000 0.1158 1
Ru1 Ru 0.0000 0.0000 0.5000 1

---

# Dy3Er4Sn4 (PBE, optimized geometry)
# Total moment, μB per atom: 0.161
# Crystal system: orthorhombic
# Mass density, kg/m³: 8429
# Formation energy, eV/atom: -0.499
# Total DFT energy (no corrections), eV per atom: -4.87
data_Dy3Er4Sn4
_symmetry_space_group_name_H-M 'I m m m'
_symmetry_Int_Tables_number 71
_symmetry_space_group_name_Hall '-I 2 2'
_cell_length_a 4.055
_cell_length_b 9.236
_cell_length_c 17.163
_cell_angle_alpha 90.00
_cell_angle_beta 90.00
_cell_angle_gamma 90.00
loop_
_atom_site_label
_atom_site_type_symbol
_atom_site_fract_x
_atom_site_fract_y
_atom_site_fract_z
_atom_site_occupancy
Dy1 Dy 0.000 0.000 0.000 1
Dy2 Dy 0.000 0.500 0.104 1
Er1 Er 0.000 0.308 0.330 1
Sn1 Sn 0.000 0.000 0.257 1
Sn2 Sn 0.000 0.213 0.500 1

---

# Li2CeNdTl4 (PBE, optimized geometry)
# Total moment, μB per atom: 0.127
# Crystal system: trigonal
# Mass density, kg/m³: 8857
# Formation energy, eV/atom: -0.299
# Total DFT energy (no corrections), eV per atom: -3.30
data_Li2CeNdTl4
_symmetry_space_group_name_H-M 'R -3 m'
_symmetry_Int_Tables_number 166
_symmetry_space_group_name_Hall '-R 3 2"'
_cell_length_a 5.2945
_cell_length_b 5.2945
_cell_length_c 25.8502
_cell_angle_alpha 90.00
_cell_angle_beta 90.00
_cell_angle_gamma 120.00
loop_
_atom_site_label
_atom_site_type_symbol
_atom_site_fract_x
_atom_site_fract_y
_atom_site_fract_z
_atom_site_occupancy
Li1 Li 0.0000 0.0000 0.2505 1
Ce1 Ce 0.0000 0.0000 0.5000 1
Nd1 Nd 0.0000 0.0000 0.0000 1
Tl1 Tl 0.0000 0.0000 0.1256 1
Tl2 Tl 0.0000 0.0000 0.3750 1

---

# GdNiBiPd (PBE, optimized geometry)
# Total moment, μB per atom: 1.775
# Crystal system: cubic
# Mass density, kg/m³: 10995
# Formation energy, eV/atom: -0.478
# Total DFT energy (no corrections), eV per atom: -7.71
data_GdNiBiPd
_symmetry_space_group_name_H-M 'F -4 3 m'
_symmetry_Int_Tables_number 216
_symmetry_space_group_name_Hall 'F -4 2 3'
_cell_length_a 6.847
_cell_length_b 6.847
_cell_length_c 6.847
_cell_angle_alpha 90.00
_cell_angle_beta 90.00
_cell_angle_gamma 90.00
loop_
_atom_site_label
_atom_site_type_symbol
_atom_site_fract_x
_atom_site_fract_y
_atom_site_fract_z
_atom_site_occupancy
Gd1 Gd 0.000 0.000 0.000 1
Ni1 Ni 0.250 0.250 0.250 1
Bi1 Bi 0.000 0.000 0.500 1
Pd1 Pd 0.250 0.250 0.750 1

---

# RbAlSe2 (PBE, optimized geometry)
# Total moment, μB per atom: 0.000
# Crystal system: monoclinic
# Mass density, kg/m³: 3179
# Total DFT energy (no corrections), eV per atom: -3.99
data_RbAlSe2
_symmetry_space_group_name_H-M 'C 1 m 1'
_symmetry_Int_Tables_number 8
_symmetry_space_group_name_Hall 'C -2y'
_cell_length_a 17.485
_cell_length_b 3.949
_cell_length_c 8.388
_cell_angle_alpha 90.00
_cell_angle_beta 102.79
_cell_angle_gamma 90.00
loop_
_atom_site_label
_atom_site_type_symbol
_atom_site_fract_x
_atom_site_fract_y
_atom_site_fract_z
_atom_site_occupancy
Rb1 Rb 0.000 0.000 0.000 1
Rb2 Rb 0.238 0.000 0.446 1
Al1 Al 0.080 0.500 0.648 1
Al2 Al 0.435 0.000 0.374 1
Se1 Se 0.070 0.500 0.352 1
Se2 Se 0.151 0.000 0.778 1
Se3 Se 0.363 0.500 0.243 1
Se4 Se 0.444 0.000 0.663 1

---

# DyTlSiO4 (PBE, optimized geometry)
# Total moment, μB per atom: 0.000
# Crystal system: monoclinic
# Mass density, kg/m³: 6260
# Total DFT energy (no corrections), eV per atom: -7.22
data_DyTlSiO4
_symmetry_space_group_name_H-M 'P 1 21/m 1'
_symmetry_Int_Tables_number 11
_symmetry_space_group_name_Hall '-P 2yb'
_cell_length_a 5.730
_cell_length_b 5.668
_cell_length_c 7.799
_cell_angle_alpha 90.00
_cell_angle_beta 106.00
_cell_angle_gamma 90.00
loop_
_atom_site_label
_atom_site_type_symbol
_atom_site_fract_x
_atom_site_fract_y
_atom_site_fract_z
_atom_site_occupancy
Dy1 Dy 0.215 0.250 0.054 1
Tl1 Tl 0.317 0.250 0.605 1
Si1 Si 0.256 0.750 0.855 1
O1 O 0.068 0.524 0.839 1
O2 O 0.432 0.750 0.721 1
O3 O 0.446 0.750 0.058 1

---

# TaHIO2 (PBE, optimized geometry)
# Total moment, μB per atom: 0.000
# Crystal system: tetragonal
# Mass density, kg/m³: 9602
# Total DFT energy (no corrections), eV per atom: -4.75
data_TaHIO2
_symmetry_space_group_name_H-M 'P 4/m m m'
_symmetry_Int_Tables_number 123
_symmetry_space_group_name_Hall '-P 4 2'
_cell_length_a 4.185
_cell_length_b 4.185
_cell_length_c 3.366
_cell_angle_alpha 90.00
_cell_angle_beta 90.00
_cell_angle_gamma 90.00
loop_
_atom_site_label
_atom_site_type_symbol
_atom_site_fract_x
_atom_site_fract_y
_atom_site_fract_z
_atom_site_occupancy
Ta1 Ta 0.000 0.000 0.000 1
H1 H 0.500 0.500 0.500 1
I1 I 0.500 0.500 0.000 1
O1 O 0.000 0.500 0.500 1

---

# YIn3Pd4 (PBE, optimized geometry)
# Total moment, μB per atom: 0.000
# Crystal system: orthorhombic
# Mass density, kg/m³: 9457
# Formation energy, eV/atom: -0.644
# Total DFT energy (no corrections), eV per atom: -5.08
data_YIn3Pd4
_symmetry_space_group_name_H-M 'P m m a'
_symmetry_Int_Tables_number 51
_symmetry_space_group_name_Hall '-P 2a 2a'
_cell_length_a 9.376
_cell_length_b 6.865
_cell_length_c 4.687
_cell_angle_alpha 90.00
_cell_angle_beta 90.00
_cell_angle_gamma 90.00
loop_
_atom_site_label
_atom_site_type_symbol
_atom_site_fract_x
_atom_site_fract_y
_atom_site_fract_z
_atom_site_occupancy
Y1 Y 0.000 0.000 0.000 1
In1 In 0.000 0.500 0.000 1
In2 In 0.250 0.000 0.499 1
In3 In 0.250 0.500 0.499 1
Pd1 Pd 0.000 0.264 0.500 1
Pd2 Pd 0.250 0.264 0.999 1

---

# AsOsRh2 (PBE, optimized geometry)
# Total moment, μB per atom: 0.000
# Crystal system: tetragonal
# Mass density, kg/m³: 9291
# Formation energy, eV/atom: 0.654
# Total DFT energy (no corrections), eV per atom: -6.99
data_AsOsRh2
_symmetry_space_group_name_H-M 'I -4 2 d'
_symmetry_Int_Tables_number 122
_symmetry_space_group_name_Hall 'I -4 2bw'
_cell_length_a 5.355
_cell_length_b 5.355
_cell_length_c 11.741
_cell_angle_alpha 90.00
_cell_angle_beta 90.00
_cell_angle_gamma 90.00
loop_
_atom_site_label
_atom_site_type_symbol
_atom_site_fract_x
_atom_site_fract_y
_atom_site_fract_z
_atom_site_occupancy
As1 As 0.000 0.000 0.000 1
Os1 Os 0.000 0.000 0.500 1
Rh1 Rh 0.250 0.250 0.125 1

---

# PuSbHRh2 (PBE, optimized geometry)
# Total moment, μB per atom: 1.041
# Crystal system: orthorhombic
# Mass density, kg/m³: 11324
# Total DFT energy (no corrections), eV per atom: -7.77
data_PuSbHRh2
_symmetry_space_group_name_H-M 'C m c m'
_symmetry_Int_Tables_number 63
_symmetry_space_group_name_Hall '-C 2c 2'
_cell_length_a 3.915
_cell_length_b 11.520
_cell_length_c 7.447
_cell_angle_alpha 90.00
_cell_angle_beta 90.00
_cell_angle_gamma 90.00
loop_
_atom_site_label
_atom_site_type_symbol
_atom_site_fract_x
_atom_site_fract_y
_atom_site_fract_z
_atom_site_occupancy
Pu1 Pu 0.000 0.043 0.250 1
Sb1 Sb 0.000 0.236 0.750 1
H1 H 0.000 0.500 0.000 1
Rh1 Rh 0.000 0.353 0.055 1

---

# PaInPbO6 (PBE, optimized geometry)
# Total moment, μB per atom: 0.000
# Crystal system: trigonal
# Mass density, kg/m³: 8329
# Total DFT energy (no corrections), eV per atom: -7.13
data_PaInPbO6
_symmetry_space_group_name_H-M 'P 3 1 2'
_symmetry_Int_Tables_number 149
_symmetry_space_group_name_Hall 'P 3 2'
_cell_length_a 5.5465
_cell_length_b 5.5465
_cell_length_c 4.8570
_cell_angle_alpha 90.00
_cell_angle_beta 90.00
_cell_angle_gamma 120.00
loop_
_atom_site_label
_atom_site_type_symbol
_atom_site_fract_x
_atom_site_fract_y
_atom_site_fract_z
_atom_site_occupancy
Pa1 Pa 0.0000 0.0000 0.0000 1
In1 In 0.6667 0.3333 0.5000 1
Pb1 Pb 0.3333 0.6667 0.5000 1
O1 O 0.3294 0.0011 0.7442 1

---

# Er4Mg2Tl (PBE, optimized geometry)
# Total moment, μB per atom: 0.001
# Crystal system: trigonal
# Mass density, kg/m³: 7631
# Formation energy, eV/atom: 0.063
# Total DFT energy (no corrections), eV per atom: -3.34
data_Er4Mg2Tl
_symmetry_space_group_name_H-M 'R -3 m'
_symmetry_Int_Tables_number 166
_symmetry_space_group_name_Hall '-R 3 2"'
_cell_length_a 5.2460
_cell_length_b 5.2460
_cell_length_c 25.2540
_cell_angle_alpha 90.00
_cell_angle_beta 90.00
_cell_angle_gamma 120.00
loop_
_atom_site_label
_atom_site_type_symbol
_atom_site_fract_x
_atom_site_fract_y
_atom_site_fract_z
_atom_site_occupancy
Er1 Er 0.0000 0.0000 0.1146 1
Er2 Er 0.0000 0.0000 0.3699 1
Mg1 Mg 0.0000 0.0000 0.2454 1
Tl1 Tl 0.0000 0.0000 0.5000 1

---

# NaPmNd (PBE, optimized geometry)
# Total moment, μB per atom: 0.000
# Crystal system: tetragonal
# Mass density, kg/m³: 4881
# Formation energy, eV/atom: 0.122
# Total DFT energy (no corrections), eV per atom: -3.49
data_NaPmNd
_symmetry_space_group_name_H-M 'I 4 m m'
_symmetry_Int_Tables_number 107
_symmetry_space_group_name_Hall 'I 4 -2'
_cell_length_a 3.574
_cell_length_b 3.574
_cell_length_c 16.628
_cell_angle_alpha 90.00
_cell_angle_beta 90.00
_cell_angle_gamma 90.00
loop_
_atom_site_label
_atom_site_type_symbol
_atom_site_fract_x
_atom_site_fract_y
_atom_site_fract_z
_atom_site_occupancy
Na1 Na 0.000 0.000 0.000 1
Pm1 Pm 0.000 0.000 0.327 1
Nd1 Nd 0.000 0.000 0.674 1

---

# SrAc5Pr6 (PBE, optimized geometry)
# Total moment, μB per atom: 0.000
# Crystal system: orthorhombic
# Mass density, kg/m³: 7013
# Formation energy, eV/atom: 0.048
# Total DFT energy (no corrections), eV per atom: -4.19
data_SrAc5Pr6
_symmetry_space_group_name_H-M 'I m m m'
_symmetry_Int_Tables_number 71
_symmetry_space_group_name_Hall '-I 2 2'
_cell_length_a 5.525
_cell_length_b 10.747
_cell_length_c 16.493
_cell_angle_alpha 90.00
_cell_angle_beta 90.00
_cell_angle_gamma 90.00
loop_
_atom_site_label
_atom_site_type_symbol
_atom_site_fract_x
_atom_site_fract_y
_atom_site_fract_z
_atom_site_occupancy
Sr1 Sr 0.000 0.000 0.000 1
Ac1 Ac 0.000 0.000 0.332 1
Ac2 Ac 0.000 0.500 0.000 1
Ac3 Ac 0.000 0.500 0.331 1
Pr1 Pr 0.000 0.239 0.500 1
Pr2 Pr 0.000 0.255 0.169 1

---

# K2Ce2MgS6 (PBE, optimized geometry)
# Total moment, μB per atom: 0.000
# Crystal system: monoclinic
# Mass density, kg/m³: 3055
# Total DFT energy (no corrections), eV per atom: -5.28
data_K2Ce2MgS6
_symmetry_space_group_name_H-M 'C 1 2/m 1'
_symmetry_Int_Tables_number 12
_symmetry_space_group_name_Hall '-C 2y'
_cell_length_a 6.933
_cell_length_b 12.066
_cell_length_c 7.806
_cell_angle_alpha 90.00
_cell_angle_beta 106.78
_cell_angle_gamma 90.00
loop_
_atom_site_label
_atom_site_type_symbol
_atom_site_fract_x
_atom_site_fract_y
_atom_site_fract_z
_atom_site_occupancy
K1 K 0.000 0.164 0.000 1
Ce1 Ce 0.000 0.334 0.500 1
Mg1 Mg 0.000 0.000 0.500 1
S1 S 0.228 0.168 0.693 1
S2 S 0.241 0.500 0.689 1

---

# Hf7Sc (PBE, optimized geometry)
# Total moment, μB per atom: 0.000
# Crystal system: orthorhombic
# Mass density, kg/m³: 11829
# Formation energy, eV/atom: 0.017
# Total DFT energy (no corrections), eV per atom: -9.48
data_Hf7Sc
_symmetry_space_group_name_H-M 'I m m m'
_symmetry_Int_Tables_number 71
_symmetry_space_group_name_Hall '-I 2 2'
_cell_length_a 3.130
_cell_length_b 9.796
_cell_length_c 11.851
_cell_angle_alpha 90.00
_cell_angle_beta 90.00
_cell_angle_gamma 90.00
loop_
_atom_site_label
_atom_site_type_symbol
_atom_site_fract_x
_atom_site_fract_y
_atom_site_fract_z
_atom_site_occupancy
Hf1 Hf 0.000 0.000 0.000 1
Hf2 Hf 0.000 0.000 0.253 1
Hf3 Hf 0.000 0.270 0.369 1
Sc1 Sc 0.000 0.500 0.000 1